! PBE-GGA Mg2Cu2As, optimized geometry; values from VASP
! Formation energy in meV per atom: -154
! Space-group type: P4/mbm
! Magnetization in μB per formula unit: 0.0
! ρ in Mg/m³: 5.0
! Fermi-level density of states in states/eV/f.u.: 1.7
! Final energy in eV per atom: -3.36
&SYSTEM
  ibrav = 0, nat = 10, ntyp = 3
/
ATOMIC_SPECIES
Mg 24.30 Mg.upf
Cu 63.55 Cu.upf
As 74.92 As.upf
CELL_PARAMETERS angstrom
6.4419 0.0000 0.0000
0.0000 6.4419 0.0000
0.0000 0.0000 4.0213
ATOMIC_POSITIONS crystal
Mg 0.6660 0.8340 0.5000
Mg 0.8340 0.3340 0.5000
Mg 0.3340 0.1660 0.5000
Mg 0.1660 0.6660 0.5000
Cu 0.3664 0.8664 0.0000
Cu 0.1336 0.3664 0.0000
Cu 0.6336 0.1336 0.0000
Cu 0.8664 0.6336 0.0000
As 0.5000 0.5000 0.0000
As 0.0000 0.0000 0.0000